Record 1
A geometry-optimized YRuW2 structure, computed with PBE. Values from VASP.

Computed properties:
Energy relative to the lowest polymorph listed for this composition, meV/atom: 217
Fermi-level density of states, states/eV/cell: 2.72
Energy of formation, eV/atom: 0.390

Structure (Quantum ESPRESSO input):
```
&SYSTEM
  ibrav = 0, nat = 4, ntyp = 3
/
ATOMIC_SPECIES
Y 88.91 Y.upf
Ru 101.07 Ru.upf
W 183.84 W.upf
ATOMIC_POSITIONS crystal
Y 0.0000 0.0000 0.0000
Ru 0.5000 0.0000 0.5000
W 0.2696 0.5000 0.7445
W 0.7304 0.5000 0.2555
CELL_PARAMETERS angstrom
2.9091 0.0000 0.0000
0.0000 4.7064 0.0000
-1.1052 0.0000 5.1550
```


Record 2
A geometry-optimized GeAs2Ir2 structure, computed with PBE. Values from VASP.

Computed properties:
Energy relative to the lowest polymorph listed for this composition, meV/atom: 0
Fermi-level density of states, states/eV/cell: 2.86
Energy of formation, eV/atom: 0.108

Structure (Quantum ESPRESSO input):
```
&SYSTEM
  ibrav = 0, nat = 5, ntyp = 3
/
ATOMIC_SPECIES
Ge 72.64 Ge.upf
As 74.92 As.upf
Ir 192.22 Ir.upf
ATOMIC_POSITIONS crystal
Ge 0.0000 0.0000 0.0000
As 0.3741 0.3741 0.0000
As 0.6259 0.6259 0.0000
Ir 0.2500 0.7500 0.5000
Ir 0.7500 0.2500 0.5000
CELL_PARAMETERS angstrom
-2.0167 2.0167 5.8345
2.0167 -2.0167 5.8345
2.0167 2.0167 -5.8345
```


Record 3
A geometry-optimized Sr2TlGe structure, computed with PBE. Values from VASP.

Computed properties:
Fermi-level density of states, states/eV/cell: 2.36
Energy of formation, eV/atom: -0.430

Structure (Quantum ESPRESSO input):
```
&SYSTEM
  ibrav = 0, nat = 4, ntyp = 3
/
ATOMIC_SPECIES
Sr 87.62 Sr.upf
Tl 204.38 Tl.upf
Ge 72.64 Ge.upf
ATOMIC_POSITIONS crystal
Sr 0.0000 0.0000 0.2278
Sr 0.0000 0.0000 0.7722
Tl 0.5000 0.5000 0.5000
Ge 0.5000 0.5000 0.0000
CELL_PARAMETERS angstrom
3.9686 0.0000 0.0000
0.0000 3.9686 0.0000
0.0000 0.0000 7.9899
```


Look up the Fermi-level density of states of the first one. 2.72 states/eV/cell


Which value of energy of formation does entry 1 give? 0.390 eV/atom


What is the formula in the second record? GeAs2Ir2


Number 3 is which compound? Sr2TlGe